The following is a PBE calculation of a relaxed structure of SrCaGa2, from Alexandria via LeMat-Bulk.

The structure in POSCAR format:
```
SrCaGa2
1.0
3.800 0.000 0.000
1.900 3.291 0.000
1.900 1.097 9.627
Ca Ga Sr
1 2 1
Direct
0.000 0.000 0.000
0.253 0.253 0.241
0.747 0.747 0.759
0.500 0.500 0.500
```

**DFT formation energy**: -14.4 kJ/mol of atoms
**Spin magnetization**: 0.00 μB per formula unit